# 1
## Ag6HgAu4 (PBE)

Data for a relaxed structure of Ag6HgAu4.

Cell: 7.1339 7.1339 7.1339 Å, 83.39 123.89 123.89°
Fractional positions:
Ag 0.5000 0.5000 0.0000
Au 0.4979 0.4014 0.4014
Ag 0.0000 0.4550 0.7593
Au 0.5021 0.9035 0.9035
Ag 0.5000 0.0000 0.5000
Au 0.0000 0.5986 0.0965
Ag 0.3043 0.5450 0.5450
Hg 0.0000 0.0000 0.0000
Ag 0.6957 0.2407 0.2407
Au 0.0000 0.0965 0.5986
Ag 0.0000 0.7593 0.4550

Calculated values
symmetry = I-42m (121)
energy relative to the lowest polymorph listed for this composition = 0.105 eV/atom
crystal system = tetragonal



# 2
## TmMgTiCd (PBE)

Data for a relaxed structure of TmMgTiCd.

Cell: 5.0175 5.0175 5.0175 Å, 60.00 60.00 60.00°
Each line ends with the local moment (μB).
Fractional positions:
Tm 0.7500 0.7500 0.7500  0.17
Mg 0.0000 0.0000 0.0000  0.00
Cd 0.5000 0.5000 0.5000  -0.01
Ti 0.2500 0.2500 0.2500  1.03

Calculated values
symmetry = F-43m (216)
raw total energy = -14.68 eV for the cell shown
crystal system = cubic



# 3
## Ba12Ru3O5 (PBE)

Data for a relaxed structure of Ba12Ru3O5.

Cell: 14.8731 14.8731 14.8731 Å, 109.47 109.47 109.47°
Fractional positions:
Ba 0.1282 0.7041 0.5259
Ba 0.8718 0.2959 0.4741
Ba 0.4241 0.1282 0.6022
Ru 0.6250 0.3750 0.7500
Ba 0.3219 0.7959 0.4241
O 0.3750 0.2500 0.1250
O 0.0000 0.5000 0.5000
Ba 0.5259 0.3219 0.8978
Ba 0.8219 0.9241 0.2959
Ba 0.6781 0.2041 0.5759
Ba 0.6022 0.6282 0.4241
Ru 0.1250 0.8750 0.7500
Ba 0.4741 0.7959 0.8718
Ba 0.6282 0.6022 0.9241
Ba 0.0759 0.1781 0.2041
Ba 0.4741 0.6781 0.1022
Ba 0.0759 0.8978 0.3718
Ba 0.1022 0.9241 0.1282
Ba 0.6781 0.4741 0.6022
O 0.1250 0.7500 0.3750
O 0.5000 0.0000 0.5000
Ba 0.9241 0.8219 0.7959
Ba 0.1781 0.1022 0.9741
Ba 0.2959 0.4241 0.8219
Ba 0.9241 0.1022 0.6282
O 0.5000 0.5000 0.5000
Ba 0.7041 0.5759 0.1781
Ru 0.3750 0.7500 0.6250
Ba 0.8978 0.0759 0.8718
Ba 0.1781 0.0759 0.7041
Ba 0.7041 0.1282 0.0259
Ba 0.6282 0.0259 0.2041
Ba 0.8718 0.5759 0.8978
Ba 0.9741 0.6022 0.1781
Ba 0.5759 0.7041 0.6781
O 0.2500 0.8750 0.1250
Ba 0.2041 0.6781 0.0759
Ru 0.1250 0.2500 0.8750
O 0.3750 0.1250 0.7500
O 0.6250 0.7500 0.8750
O 0.5000 0.0000 0.0000
Ru 0.8750 0.7500 0.1250
Ru 0.6250 0.2500 0.3750
Ba 0.3718 0.9741 0.7959
Ba 0.8978 0.8219 0.5259
O 0.7500 0.1250 0.8750
Ba 0.3219 0.5259 0.3978
O 0.0000 0.0000 0.0000
Ba 0.1022 0.1781 0.4741
O 0.1250 0.3750 0.2500
O 0.2500 0.3750 0.6250
Ba 0.8219 0.8978 0.0259
Ba 0.5759 0.8718 0.3978
Ru 0.3750 0.6250 0.2500
Ba 0.3978 0.0259 0.3219
O 0.5000 0.5000 0.0000
O 0.0000 0.0000 0.5000
O 0.0000 0.5000 0.0000
O 0.8750 0.6250 0.7500
O 0.7500 0.6250 0.3750
Ru 0.7500 0.8750 0.6250
Ru 0.8750 0.1250 0.2500
Ba 0.5259 0.2041 0.1282
O 0.6250 0.8750 0.2500
Ba 0.7959 0.3219 0.9241
Ba 0.3718 0.3978 0.0759
Ba 0.7959 0.4741 0.3718
Ru 0.2500 0.1250 0.3750
Ba 0.0259 0.6282 0.7041
Ba 0.4241 0.2959 0.3219
Ba 0.3978 0.3718 0.5759
Ba 0.2959 0.8718 0.9741
Ba 0.2041 0.5259 0.6282
Ba 0.9741 0.3718 0.2959
Ba 0.6022 0.9741 0.6781
Ba 0.1282 0.4241 0.1022
Ru 0.2500 0.6250 0.8750
Ba 0.0259 0.3978 0.8219
Ru 0.7500 0.3750 0.1250
O 0.8750 0.2500 0.6250

Calculated values
symmetry = Ia-3d (230)
E_form (uncorrected) = -1.01 eV/atom
crystal system = cubic



# 4
## CaNO2F (PBE)

Data for a relaxed structure of CaNO2F.

Cell: 4.3353 4.3353 3.4286 Å, 90.00 90.00 90.00°
Each line ends with the local moment (μB).
Fractional positions:
O 0.5000 0.0000 0.0000  0.93
Ca 0.5000 0.5000 0.5000  -0.02
F 0.0000 0.0000 0.0000  0.32
N 0.0000 0.0000 0.5000  1.06
O 0.0000 0.5000 0.0000  0.93

Calculated values
symmetry = P4/mmm (123)
E_form (uncorrected) = 0.34 eV/atom
crystal system = tetragonal



# 5
## SmTeBrO4 (PBE)

Data for a relaxed structure of SmTeBrO4.

Cell: 6.5508 6.5508 7.1192 Å, 76.52 76.52 68.77°
Fractional positions:
O 0.4591 0.4591 0.8021
Te 0.6348 0.6348 0.7339
O 0.2954 0.2954 0.5305
O 0.5409 0.5409 0.1979
O 0.8852 0.5175 0.8554
Br 0.0094 0.0094 0.2433
Te 0.3652 0.3652 0.2661
Sm 0.7704 0.7704 0.1229
O 0.7046 0.7046 0.4695
Br 0.9906 0.9906 0.7567
O 0.5175 0.8852 0.8554
O 0.4825 0.1148 0.1446
Sm 0.2296 0.2296 0.8771
O 0.1148 0.4825 0.1446

Calculated values
symmetry = C2/m (12)
E_form (uncorrected) = -1.68 eV/atom
crystal system = monoclinic



# 6
## Pa2Ni3Os (PBE)

Data for a relaxed structure of Pa2Ni3Os.

Cell: 5.0302 5.0302 5.2331 Å, 89.88 118.69 120.18°
Fractional positions:
Pa 0.2538 0.6272 0.8811
Ni 0.0000 0.0000 0.5000
Os 0.0000 0.0000 0.0000
Ni 0.5000 0.5000 0.5000
Pa 0.7462 0.3728 0.1189
Ni 0.5000 0.0000 0.5000

Calculated values
symmetry = C2/m (12)
raw total energy = -50.02 eV for the cell shown
crystal system = monoclinic



no.,magnetization (μB per atom)
1,0.00
2,0.39
3,0.00
4,0.80
5,0.00
6,0.00